No. 1
The following is a DFT calculation (PBE) of a geometry-optimized CaAgRh2 structure.

```
CaAgRh2
1.0
2.971 0.000 0.000
-1.486 2.573 0.000
0.000 0.000 27.592
Ca Ag Rh
3 3 6
direct
0.000 0.000 0.000
0.333 0.667 0.667
0.667 0.333 0.333
0.000 0.000 0.500
0.333 0.667 0.167
0.667 0.333 0.833
0.000 0.000 0.250
0.000 0.000 0.750
0.333 0.667 0.417
0.333 0.667 0.917
0.667 0.333 0.083
0.667 0.333 0.583
```

---

No. 2
The following is a DFT calculation (PBE) of a geometry-optimized Ca6Ag5Rh structure.

```
Ca6Ag5Rh
1.0
2.581 -7.695 0.000
2.581 7.695 0.000
0.000 0.000 7.434
Ca Ag Rh
6 5 1
direct
0.000 0.000 0.235
0.000 0.000 0.765
0.341 0.659 0.242
0.341 0.659 0.758
0.659 0.341 0.242
0.659 0.341 0.758
0.170 0.830 0.500
0.171 0.829 0.000
0.500 0.500 0.500
0.829 0.171 0.000
0.830 0.170 0.500
0.500 0.500 0.000
```

---

No. 3
The following is a DFT calculation (PBE) of a geometry-optimized Ca3AgRh2 structure.

```
Ca3AgRh2
1.0
3.436 0.000 0.000
0.000 3.436 0.000
0.000 0.000 11.072
Ca Ag Rh
3 1 2
direct
0.000 0.000 0.000
0.000 0.000 0.309
0.000 0.000 0.691
0.500 0.500 0.500
0.500 0.500 0.161
0.500 0.500 0.839
```

---

One value per record, in order, for DFT formation energy: 90 -376 -189 kJ/mol of formula units.